# 1
DFT (PBE) results for Ac2PaMnS6 after structural relaxation.

ρ: 6.37 g cm⁻³
Total moment: 1.1 μB/f.u.
DOS at the Fermi energy: 5.07 states/eV/f.u.
Space-group type: P4mm, No. 99
Calculated volume: 24.3 Å³/atom
ΔE_f (raw): -1.47 eV/atom

Lattice parameters (Å, degrees): 6.7518 6.7518 5.3315 90.00 90.00 90.00
Last column: nearest neighbours and their distance in Å.
Positions (direct):
Ac: 0.0000 0.5000 0.0000  8 S 3.08-3.45
Ac: 0.5000 0.0000 0.0000  8 S 3.08-3.45
Pa: 0.0000 0.0000 0.5967  6 S 2.56-2.70
Mn: 0.5000 0.5000 0.6668  5 S 2.23-2.48
S: 0.0000 0.0000 0.1036  2 Pa 2.63-2.70
S: 0.2671 0.2671 0.6360  1 Mn 2.23
S: 0.2671 0.7329 0.6360  1 Mn 2.23
S: 0.5000 0.5000 0.1326  1 Mn 2.48
S: 0.7329 0.2671 0.6360  1 Mn 2.23
S: 0.7329 0.7329 0.6360  1 Mn 2.23

# 2
DFT (PBE) results for Ca2ScGa2Rh5 after structural relaxation.

ρ: 7.38 g cm⁻³
Total moment: 0.0 μB/f.u.
DOS at the Fermi energy: 4.66 states/eV/f.u.
Formation energy from the elements: -653 meV/atom
Space-group type: P4/mbm, No. 127
Calculated volume: 17.5 Å³/atom

Lattice parameters (Å, degrees): 10.1650 10.1650 3.3948 90.00 90.00 90.00
Last column: nearest neighbours and their distance in Å.
Positions (direct):
Ca: 0.1726 0.3274 0.0000  3 Ga 2.89-3.08, 10 Rh 3.01-3.22
Ca: 0.3274 0.8274 0.0000  3 Ga 2.89-3.08, 10 Rh 3.01-3.22
Ca: 0.6726 0.1726 0.0000  3 Ga 2.89-3.08, 10 Rh 3.01-3.22
Ca: 0.8274 0.6726 0.0000  3 Ga 2.89-3.08, 10 Rh 3.01-3.22
Sc: 0.0000 0.0000 0.0000  8 Rh 2.76
Sc: 0.5000 0.5000 0.0000  8 Rh 2.76
Ga: 0.1266 0.6266 0.0000  6 Rh 2.49-2.50
Ga: 0.3734 0.1266 0.0000  6 Rh 2.49-2.50
Ga: 0.6266 0.8734 0.0000  6 Rh 2.49-2.50
Ga: 0.8734 0.3734 0.0000  6 Rh 2.49-2.50
Rh: 0.0000 0.5000 0.5000  4 Ga 2.49
Rh: 0.0659 0.7967 0.5000  2 Ga 2.50, 2 Sc 2.76
Rh: 0.2033 0.0659 0.5000  2 Ga 2.50, 2 Sc 2.76
Rh: 0.2967 0.5659 0.5000  2 Ga 2.50, 2 Sc 2.76
Rh: 0.4341 0.2967 0.5000  2 Ga 2.50, 2 Sc 2.76
Rh: 0.5000 0.0000 0.5000  4 Ga 2.49
Rh: 0.5659 0.7033 0.5000  2 Ga 2.50, 2 Sc 2.76
Rh: 0.7033 0.4341 0.5000  2 Ga 2.50, 2 Sc 2.76
Rh: 0.7967 0.9341 0.5000  2 Ga 2.50, 2 Sc 2.76
Rh: 0.9341 0.2033 0.5000  2 Ga 2.50, 2 Sc 2.76

# 3
DFT (PBE) results for PuCrRh after structural relaxation.

ρ: 14.66 g cm⁻³
Total moment: 2.2 μB/f.u.
DOS at the Fermi energy: 5.44 states/eV/f.u.
Formation energy from the elements: 238 meV/atom
Space-group type: Amm2, No. 38
Calculated volume: 15.1 Å³/atom

Lattice parameters (Å, degrees): 13.9108 2.7235 2.7235 61.13 90.00 90.00
Last column: nearest neighbours and their distance in Å.
Positions (direct):
Pu: 0.1844 0.0000 0.0000  2 Cr 2.70, 6 Pu 2.72-2.77, 1 Rh 2.94
Pu: 0.8156 0.0000 0.0000  2 Cr 2.70, 6 Pu 2.72-2.77, 1 Rh 2.94
Cr: 0.3514 0.5023 0.5023  3 Rh 2.60-2.61, 2 Pu 2.70, 6 Cr 2.72-2.77
Cr: 0.6486 0.5023 0.5023  3 Rh 2.60-2.61, 2 Pu 2.70, 6 Cr 2.72-2.77
Rh: 0.0000 0.3045 0.3045  6 Rh 2.72-2.77, 2 Pu 2.94
Rh: 0.5000 0.1611 0.1611  6 Cr 2.60-2.61, 6 Rh 2.72-2.77

# 4
DFT (PBE) results for Pu12Ge6H after structural relaxation.

ρ: 12.78 g cm⁻³
Total moment: 68.4 μB/f.u.
E: -204.6 eV/f.u.
DOS at the Fermi energy: 67.99 states/eV/f.u.
Space-group type: R-3m, No. 166
Calculated volume: 23.0 Å³/atom

Lattice parameters (Å, degrees): 7.5911 7.5911 7.5911 90.86 90.86 90.86
Last column: nearest neighbours and their distance in Å.
Positions (direct):
Pu: 0.0101 0.0101 0.6893  1 H 2.36
Pu: 0.0101 0.6893 0.0101  1 H 2.36
Pu: 0.1231 0.6121 0.6121  5 Pu 3.00-3.33, 5 Ge 3.02-3.16
Pu: 0.3107 0.9899 0.9899  1 H 2.36
Pu: 0.3879 0.3879 0.8769  5 Pu 3.00-3.33, 5 Ge 3.02-3.16
Pu: 0.3879 0.8769 0.3879  5 Pu 3.00-3.33, 5 Ge 3.02-3.16
Pu: 0.6121 0.1231 0.6121  5 Pu 3.00-3.33, 5 Ge 3.02-3.16
Pu: 0.6121 0.6121 0.1231  5 Pu 3.00-3.33, 5 Ge 3.02-3.16
Pu: 0.6893 0.0101 0.0101  1 H 2.36
Pu: 0.8769 0.3879 0.3879  5 Pu 3.00-3.33, 5 Ge 3.02-3.16
Pu: 0.9899 0.3107 0.9899  1 H 2.36
Pu: 0.9899 0.9899 0.3107  1 H 2.36
Ge: 0.2491 0.2491 0.5116  2 Ge 2.84, 7 Pu 2.91-3.16
Ge: 0.2491 0.5116 0.2491  2 Ge 2.84, 7 Pu 2.91-3.16
Ge: 0.4884 0.7509 0.7509  2 Ge 2.84, 7 Pu 2.91-3.16
Ge: 0.5116 0.2491 0.2491  2 Ge 2.84, 7 Pu 2.91-3.16
Ge: 0.7509 0.4884 0.7509  2 Ge 2.84, 7 Pu 2.91-3.16
Ge: 0.7509 0.7509 0.4884  2 Ge 2.84, 7 Pu 2.91-3.16
H: 0.0000 0.0000 0.0000  6 Pu 2.36

# 5
DFT (PBE) results for LaBiF6 after structural relaxation.

ρ: 6.71 g cm⁻³
Total moment: 0.0 μB/f.u.
DOS at the Fermi energy: 0.00 states/eV/f.u.
Space-group type: Amm2, No. 38
Calculated volume: 14.3 Å³/atom
ΔE_f (raw): -3.23 eV/atom

Lattice parameters (Å, degrees): 4.0318 5.3415 5.3415 83.67 90.00 90.00
Last column: nearest neighbours and their distance in Å.
Positions (direct):
La: 0.0000 0.0000 0.0000  9 F 2.38-2.61
Bi: 0.5000 0.4654 0.4654  5 F 2.30-2.34
F: 0.0000 0.3276 0.3276  2 Bi 2.30, 2 F 2.37
F: 0.0000 0.4170 0.7929  1 La 2.38, 1 F 2.58
F: 0.0000 0.7929 0.4170  1 La 2.38, 1 F 2.58
F: 0.5000 0.0714 0.6985  1 Bi 2.32, 2 La 2.58
F: 0.5000 0.1714 0.1714  1 Bi 2.34, 2 F 2.37, 2 La 2.43
F: 0.5000 0.6985 0.0714  1 Bi 2.32, 2 La 2.58

# 6
DFT (PBE) results for Fe2PW after structural relaxation.

ρ: 11.23 g cm⁻³
Total moment: 1.0 μB/f.u.
DOS at the Fermi energy: 3.07 states/eV/f.u.
Formation energy from the elements: -77 meV/atom
Space-group type: Imm2, No. 44
Calculated volume: 12.1 Å³/atom

Lattice parameters (Å, degrees): 4.7822 4.7822 4.7822 144.93 129.00 63.40
Last column: nearest neighbours and their distance in Å.
Positions (direct):
Fe: 0.0000 0.0000 0.0000  4 P 2.52, 4 W 2.65-2.76, 4 Fe 2.67-2.74
Fe: 0.7231 0.2231 0.5000  2 P 2.19
P: 0.5198 0.5198 0.0000  2 Fe 2.19
W: 0.2736 0.7736 0.5000  2 P 2.47, 8 Fe 2.55-2.76

# 7
DFT (PBE) results for Ce2InCl after structural relaxation.

ρ: 6.54 g cm⁻³
Total moment: 1.5 μB/f.u.
DOS at the Fermi energy: 11.91 states/eV/f.u.
Space-group type: R-3m, No. 166
Calculated volume: 27.3 Å³/atom
ΔE_f (raw): -0.77 eV/atom

Lattice parameters (Å, degrees): 8.3993 8.3993 8.3993 27.21 27.21 27.21
Last column: nearest neighbours and their distance in Å.
Positions (direct):
Ce: 0.2358 0.2358 0.2358  3 Cl 2.83
Ce: 0.7642 0.7642 0.7642  3 Cl 2.83
In: 0.0000 0.0000 0.0000  6 Ce 3.29
Cl: 0.5000 0.5000 0.5000  6 Ce 2.83

# 8
DFT (PBE) results for CaSnBRh3 after structural relaxation.

ρ: 7.25 g cm⁻³
Total moment: 0.0 μB/f.u.
DOS at the Fermi energy: 2.44 states/eV/f.u.
Formation energy from the elements: -442 meV/atom
Space-group type: Cmcm, No. 63
Calculated volume: 18.3 Å³/atom

Lattice parameters (Å, degrees): 7.0765 7.0765 5.8475 90.00 90.00 131.52
Last column: nearest neighbours and their distance in Å.
Positions (direct):
Ca: 0.2448 0.7552 0.7500  4 Rh 3.05-3.11, 4 Sn 3.28-3.32
Ca: 0.7552 0.2448 0.2500  4 Rh 3.05-3.11, 4 Sn 3.28-3.32
Sn: 0.1301 0.8699 0.2500  5 Rh 2.55-2.67
Sn: 0.8699 0.1301 0.7500  5 Rh 2.55-2.67
B: 0.4858 0.5142 0.2500  5 Rh 2.05
B: 0.5142 0.4858 0.7500  5 Rh 2.05
Rh: 0.2536 0.2536 0.0000  2 B 2.05
Rh: 0.2536 0.2536 0.5000  2 B 2.05
Rh: 0.3273 0.6727 0.2500  1 B 2.05
Rh: 0.6727 0.3273 0.7500  1 B 2.05
Rh: 0.7464 0.7464 0.0000  2 B 2.05
Rh: 0.7464 0.7464 0.5000  2 B 2.05

Please write out number 6 again, unchanged.
DFT (PBE) results for Fe2PW after structural relaxation.

ρ: 11.23 g cm⁻³
Total moment: 1.0 μB/f.u.
DOS at the Fermi energy: 3.07 states/eV/f.u.
Formation energy from the elements: -77 meV/atom
Space-group type: Imm2, No. 44
Calculated volume: 12.1 Å³/atom

Lattice parameters (Å, degrees): 4.7822 4.7822 4.7822 144.93 129.00 63.40
Last column: nearest neighbours and their distance in Å.
Positions (direct):
Fe: 0.0000 0.0000 0.0000  4 P 2.52, 4 W 2.65-2.76, 4 Fe 2.67-2.74
Fe: 0.7231 0.2231 0.5000  2 P 2.19
P: 0.5198 0.5198 0.0000  2 Fe 2.19
W: 0.2736 0.7736 0.5000  2 P 2.47, 8 Fe 2.55-2.76

Q: What is the total moment in the second record?
A: 0.0 μB/f.u.

Q: Which of these has the highest ρ?
A: PuCrRh

Q: Which formula does entry 3 have?
A: PuCrRh